[1]
Entry from Alexandria: ScAl2Mo after structural relaxation (GGA-PBEsol). Values from VASP.

Output
* total magnetic moment: 0.0 μB/cell
* SG: Pmmm (47)
* raw total energy: -27.4 eV per formula unit
* energy relative to the elements: -0.21 eV per atom
* excess energy over the best structure of this formula in the dataset: 93 meV per atom

Cell and atoms, written as Quantum ESPRESSO input:
```
&SYSTEM
  ibrav = 0, nat = 4, ntyp = 3
/
ATOMIC_SPECIES
Sc 44.96 Sc.upf
Al 26.98 Al.upf
Mo 95.94 Mo.upf
ATOMIC_POSITIONS crystal
Sc 0.000 0.000 0.000
Al 0.000 0.500 0.500
Al 0.500 0.000 0.500
Mo 0.500 0.500 0.000
CELL_PARAMETERS angstrom
3.857 0.000 0.000
0.000 4.030 0.000
0.000 0.000 4.215
```

=====

[2]
Entry from Alexandria: ScAlMo2 after structural relaxation (GGA-PBEsol). Values from VASP.

Output
* total magnetic moment: 0.0 μB/cell
* SG: F-43m (216)
* raw total energy: -34.9 eV per formula unit
* energy relative to the elements: -0.16 eV per atom

Cell and atoms, written as Quantum ESPRESSO input:
```
&SYSTEM
  ibrav = 0, nat = 16, ntyp = 3
/
ATOMIC_SPECIES
Sc 44.96 Sc.upf
Al 26.98 Al.upf
Mo 95.94 Mo.upf
ATOMIC_POSITIONS crystal
Sc 0.000 0.000 0.000
Sc 0.000 0.500 0.500
Sc 0.500 0.000 0.500
Sc 0.500 0.500 0.000
Al 0.250 0.250 0.750
Al 0.250 0.750 0.250
Al 0.750 0.250 0.250
Al 0.750 0.750 0.750
Mo 0.000 0.000 0.500
Mo 0.000 0.500 0.000
Mo 0.250 0.250 0.250
Mo 0.250 0.750 0.750
Mo 0.500 0.000 0.000
Mo 0.500 0.500 0.500
Mo 0.750 0.250 0.750
Mo 0.750 0.750 0.250
CELL_PARAMETERS angstrom
6.365 0.000 0.000
0.000 6.365 0.000
0.000 0.000 6.365
```

=====

[3]
Entry from Alexandria: Sc2AlMo after structural relaxation (GGA-PBEsol). Values from VASP.

Output
* total magnetic moment: 0.0 μB/cell
* SG: Cmm2 (35)
* raw total energy: -29.1 eV per formula unit
* energy relative to the elements: 0.00 eV per atom

Cell and atoms, written as Quantum ESPRESSO input:
```
&SYSTEM
  ibrav = 0, nat = 8, ntyp = 3
/
ATOMIC_SPECIES
Sc 44.96 Sc.upf
Al 26.98 Al.upf
Mo 95.94 Mo.upf
ATOMIC_POSITIONS crystal
Sc 0.000 0.000 0.000
Sc 0.000 0.500 0.302
Sc 0.500 0.000 0.302
Sc 0.500 0.500 0.000
Al 0.000 0.000 0.543
Al 0.500 0.500 0.543
Mo 0.000 0.500 0.754
Mo 0.500 0.000 0.754
CELL_PARAMETERS angstrom
4.053 0.000 0.000
0.000 4.060 0.000
0.000 0.000 8.961
```

=====

[4]
Entry from Alexandria: ScAlMo2 after structural relaxation (GGA-PBEsol). Values from VASP.

Output
* total magnetic moment: 0.0 μB/cell
* SG: R-3m (166)
* raw total energy: -33.3 eV per formula unit
* energy relative to the elements: 0.22 eV per atom

Cell and atoms, written as Quantum ESPRESSO input:
```
&SYSTEM
  ibrav = 0, nat = 12, ntyp = 3
/
ATOMIC_SPECIES
Sc 44.96 Sc.upf
Al 26.98 Al.upf
Mo 95.94 Mo.upf
ATOMIC_POSITIONS crystal
Sc 0.000 0.000 0.000
Sc 0.333 0.667 0.667
Sc 0.667 0.333 0.333
Al 0.000 0.000 0.500
Al 0.333 0.667 0.167
Al 0.667 0.333 0.833
Mo 0.000 0.000 0.246
Mo 0.000 0.000 0.754
Mo 0.333 0.667 0.421
Mo 0.333 0.667 0.912
Mo 0.667 0.333 0.088
Mo 0.667 0.333 0.579
CELL_PARAMETERS angstrom
2.862 0.000 0.000
-1.431 2.479 0.000
0.000 0.000 27.894
```

=====

[5]
Entry from Alexandria: ScAl2Mo after structural relaxation (GGA-PBEsol). Values from VASP.

Output
* total magnetic moment: 0.0 μB/cell
* SG: C2/m (12)
* raw total energy: -27.1 eV per formula unit
* energy relative to the elements: -0.13 eV per atom
* excess energy over the best structure of this formula in the dataset: 165 meV per atom

Cell and atoms, written as Quantum ESPRESSO input:
```
&SYSTEM
  ibrav = 0, nat = 8, ntyp = 3
/
ATOMIC_SPECIES
Sc 44.96 Sc.upf
Al 26.98 Al.upf
Mo 95.94 Mo.upf
ATOMIC_POSITIONS crystal
Sc 0.000 0.000 0.000
Sc 0.500 0.500 0.000
Al 0.243 0.000 0.720
Al 0.257 0.500 0.280
Al 0.743 0.500 0.720
Al 0.757 0.000 0.280
Mo 0.000 0.500 0.500
Mo 0.500 0.000 0.500
CELL_PARAMETERS angstrom
9.160 0.000 0.000
0.000 2.828 0.000
-0.666 0.000 5.263
```

=====

[6]
Entry from Alexandria: ScAlSiMo2 after structural relaxation (GGA-PBEsol). Values from VASP.

Output
* total magnetic moment: 0.0 μB/cell
* SG: P4/mmm (123)
* raw total energy: -30.5 eV per formula unit
* E_form (uncorrected): 1.886 eV per atom

Cell and atoms, written as Quantum ESPRESSO input:
```
&SYSTEM
  ibrav = 0, nat = 5, ntyp = 4
/
ATOMIC_SPECIES
Sc 44.96 Sc.upf
Al 26.98 Al.upf
Si 28.09 Si.upf
Mo 95.94 Mo.upf
ATOMIC_POSITIONS crystal
Sc 0.000 0.000 0.000
Al 0.000 0.000 0.500
Si 0.500 0.500 0.500
Mo 0.000 0.500 0.000
Mo 0.500 0.000 0.000
CELL_PARAMETERS angstrom
4.499 0.000 0.000
0.000 4.499 0.000
0.000 0.000 4.818
```